# 1
The following is a GGA-PBE calculation of a relaxed CdBMo2Rh crystal, from Alexandria via LeMat-Bulk.

Output
formation energy from the elements: 2.436 eV per atom
symmetry: P4/mmm

Lattice parameters (Å, degrees): 4.977 4.977 3.849 90.00 90.00 90.00
Positions (direct):
Cd: 0.000 0.000 0.000
B: 0.000 0.000 0.500
Mo: 0.000 0.500 0.000
Mo: 0.500 0.000 0.000
Rh: 0.500 0.500 0.500

---

# 2
The following is a GGA-PBE calculation of a relaxed Y5CdS8 crystal, from Alexandria via LeMat-Bulk.

Output
electronic total energy: -6.525 eV per atom
symmetry: I-4

Lattice parameters (Å, degrees): 7.267 7.267 7.267 109.30 109.30 109.82
Positions (direct):
Y: 0.000 0.000 0.000
Y: 0.244 0.633 0.111
Y: 0.367 0.478 0.611
Y: 0.522 0.133 0.889
Y: 0.867 0.756 0.389
Cd: 0.750 0.250 0.500
S: 0.124 0.236 0.755
S: 0.142 0.755 0.759
S: 0.245 0.004 0.387
S: 0.481 0.369 0.245
S: 0.617 0.858 0.613
S: 0.631 0.876 0.112
S: 0.764 0.519 0.888
S: 0.996 0.383 0.241

---

# 3
The following is a GGA-PBE calculation of a relaxed ZnCuAsI2 crystal, from Alexandria via LeMat-Bulk.

Output
electronic total energy: -2.155 eV per atom
symmetry: P4/mmm

Lattice parameters (Å, degrees): 5.677 5.677 4.527 90.00 90.00 90.00
Positions (direct):
Zn: 0.000 0.000 0.000
Cu: 0.500 0.500 0.500
As: 0.500 0.500 0.000
I: 0.000 0.500 0.500
I: 0.500 0.000 0.500

---

# 4
The following is a GGA-PBE calculation of a relaxed Pr2ErTl2Cd2 crystal, from Alexandria via LeMat-Bulk.

Output
formation energy from the elements: -0.161 eV per atom
symmetry: R-3m

Lattice parameters (Å, degrees): 9.759 9.759 9.759 29.78 29.78 29.78
Positions (direct):
Pr: 0.126 0.126 0.126
Pr: 0.874 0.874 0.874
Er: 0.000 0.000 0.000
Tl: 0.261 0.261 0.261
Tl: 0.739 0.739 0.739
Cd: 0.386 0.386 0.386
Cd: 0.614 0.614 0.614

---

# 5
The following is a GGA-PBE calculation of a relaxed Li5Cd4 crystal, from Alexandria via LeMat-Bulk.

Output
formation energy from the elements: -0.222 eV per atom
symmetry: C2/m
E above lowest polymorph: 14 meV per atom

Lattice parameters (Å, degrees): 6.639 6.639 4.313 108.45 108.45 84.53
Positions (direct):
Li: 0.000 0.000 0.000
Li: 0.325 0.325 0.324
Li: 0.325 0.675 0.000
Li: 0.675 0.325 0.000
Li: 0.675 0.675 0.676
Cd: 0.000 0.337 0.669
Cd: 0.000 0.663 0.331
Cd: 0.337 0.000 0.669
Cd: 0.663 0.000 0.331

---

# 6
The following is a GGA-PBE calculation of a relaxed LiCd8Rh2 crystal, from Alexandria via LeMat-Bulk.

Output
formation energy from the elements: -0.118 eV per atom
symmetry: Immm
E above lowest polymorph: 0 meV per atom

Lattice parameters (Å, degrees): 7.706 7.706 7.706 146.44 119.87 70.66
Positions (direct):
Li: 0.000 0.000 0.000
Cd: 0.133 0.844 0.290
Cd: 0.142 0.642 0.500
Cd: 0.317 0.500 0.817
Cd: 0.446 0.156 0.290
Cd: 0.554 0.844 0.710
Cd: 0.683 0.500 0.183
Cd: 0.858 0.358 0.500
Cd: 0.867 0.156 0.710
Rh: 0.292 0.292 0.000
Rh: 0.708 0.708 0.000